Below is crystalline Pm4TiGe5 at its relaxed geometry, with properties calculated at the GGA-PBE level.

```
Pm4TiGe5
1.0
-4.617 4.617 2.947
4.617 -4.617 2.947
4.617 4.617 -2.947
Pm Ti Ge
4 1 5
direct
0.091 0.698 0.789
0.302 0.091 0.393
0.698 0.909 0.607
0.909 0.302 0.211
0.500 0.500 0.000
0.000 0.000 0.000
0.227 0.407 0.634
0.407 0.773 0.179
0.593 0.227 0.821
0.773 0.593 0.366
```

Output
Calculated total energy ... -5.583 eV/atom
Total moment ... 0.00 Bohr magnetons per cell
ΔE_f ... -0.584 eV/atom